(1)
Density functional theory data (PBE) for a relaxed structure of Ni3PdN.

## Properties
D(E_F) (states/eV per atom): 1.589
E (eV per atom): -5.659

a b c (Å): 4.1699 4.1699 7.4011
angles (deg): 90.00 90.00 120.00
Last column: nearest neighbours and their distance in Å.
Space group P6_3/mmc (No. 194)
Unique sites:
Ni 0.0000 0.0000 0.2500 x2  2 N 1.85
Ni 0.3333 0.6667 0.0837 x4  7 Ni 2.46-2.71, 4 Pd 2.47-2.70, 3 N 2.49
Pd 0.3333 0.6667 0.7500 x2  5 Ni 2.41-2.47
N 0.0000 0.0000 0.0000 x2  2 Ni 1.85

***

(2)
Density functional theory data (PBE) for a relaxed structure of CeTi2As4.

## Properties
D(E_F) (states/eV per atom): 0.359
Calculated formation energy (kJ/mol of formula units): -588

a b c (Å): 3.8427 12.0569 12.4490
angles (deg): 90.00 90.00 90.00
Last column: nearest neighbours and their distance in Å.
Space group Cmcm (No. 63)
Unique sites:
Ce 0.0000 0.1113 0.2500 x4  6 As 2.92-2.93
Ti 0.0000 0.3682 0.0568 x8  6 As 2.51-2.60
As 0.0000 0.0000 0.0000 x4  4 Ti 2.59
As 0.0000 0.2607 0.6223 x8  3 Ti 2.58-2.60
As 0.0000 0.4289 0.2500 x4  2 Ti 2.51

***

(3)
Density functional theory data (PBE) for a relaxed structure of PrDyHoHg.

## Properties
D(E_F) (states/eV per atom): 1.320
Calculated formation energy (kJ/mol of formula units): -23
Distance to the lowest polymorph of the same formula (eV per atom): 0.175

a b c (Å): 7.7444 7.7444 7.7444
angles (deg): 90.00 90.00 90.00
Last column: nearest neighbours and their distance in Å.
Space group F-43m (No. 216)
Unique sites:
Pr 0.0000 0.0000 0.0000 x4  4 Ho 3.35, 4 Hg 3.35
Dy 0.0000 0.0000 0.5000 x4  4 Hg 3.35, 4 Ho 3.35
Ho 0.2500 0.2500 0.7500 x4  4 Dy 3.35, 4 Pr 3.35
Hg 0.2500 0.2500 0.2500 x4  4 Dy 3.35, 4 Pr 3.35

***

(4)
Density functional theory data (PBE) for a relaxed structure of Ac4BiSb3.

## Properties
D(E_F) (states/eV per atom): 0.191
E (eV per atom): -5.249

a b c (Å): 6.8160 6.8160 6.8160
angles (deg): 90.00 90.00 90.00
Last column: nearest neighbours and their distance in Å.
Space group Pm-3m (No. 221)
Unique sites:
Ac 0.0000 0.0000 0.0000 x1  6 Sb 3.41
Ac 0.0000 0.5000 0.5000 x3  4 Sb 3.41, 2 Bi 3.41
Bi 0.5000 0.5000 0.5000 x1  6 Ac 3.41
Sb 0.0000 0.0000 0.5000 x3  6 Ac 3.41

***

(5)
Density functional theory data (PBE) for a relaxed structure of La3SnGe2.

## Properties
D(E_F) (states/eV per atom): 0.769
Calculated formation energy (kJ/mol of formula units): -422
Distance to the lowest polymorph of the same formula (eV per atom): 0.000

a b c (Å): 8.2438 8.2438 19.5534
angles (deg): 90.00 90.00 120.00
Last column: nearest neighbours and their distance in Å.
Space group R-3c (No. 167, hexagonal axes)
Unique sites:
La 0.0000 0.3066 0.2500 x18  4 Ge 3.16-3.18, 2 Sn 3.30
Sn 0.0000 0.0000 0.0000 x6  2 Ge 3.00, 6 La 3.30
Ge 0.0000 0.0000 0.1534 x12  1 Sn 3.00, 6 La 3.16-3.18

***

(6)
Density functional theory data (PBE) for a relaxed structure of Tm2Al8Co.

## Properties
D(E_F) (states/eV per atom): 0.352
Calculated formation energy (kJ/mol of formula units): -471

a b c (Å): 4.1940 4.1940 11.0450
angles (deg): 90.00 90.00 90.00
Last column: nearest neighbours and their distance in Å.
Space group P4/mmm (No. 123)
Unique sites:
Tm 0.0000 0.0000 0.1925 x2  12 Al 2.97-2.99
Al 0.0000 0.5000 0.0000 x2  8 Al 2.97-2.99, 4 Tm 2.99
Al 0.0000 0.5000 0.3831 x4  2 Co 2.46, 1 Al 2.58
Al 0.5000 0.5000 0.1936 x2  8 Al 2.96-2.99, 4 Tm 2.97
Co 0.0000 0.0000 0.5000 x1  8 Al 2.46

***

(7)
Density functional theory data (PBE) for a relaxed structure of Nd3In2Pd7.

## Properties
D(E_F) (states/eV per atom): 0.374
Calculated formation energy (kJ/mol of formula units): -718

a b c (Å): 4.1472 4.1472 29.8272
angles (deg): 90.00 90.00 90.00
Last column: nearest neighbours and their distance in Å.
Space group I4/mmm (No. 139)
Unique sites:
Nd 0.0000 0.0000 0.0000 x2  12 Pd 2.93-2.98
Nd 0.0000 0.0000 0.1816 x4  5 Pd 2.92-3.15
In 0.0000 0.0000 0.3717 x4  5 Pd 2.67-2.75
Pd 0.0000 0.0000 0.2796 x4  1 In 2.75, 1 Nd 2.92
Pd 0.0000 0.0000 0.5000 x2  4 Nd 2.93, 8 Pd 2.98
Pd 0.0000 0.5000 0.0718 x8  2 In 2.67, 6 Pd 2.93-2.98, 2 Nd 2.98

***

(8)
Density functional theory data (PBE) for a relaxed structure of TcN.

## Properties
D(E_F) (states/eV per atom): 0.783
Distance to the lowest polymorph of the same formula (eV per atom): 0.232

a b c (Å): 6.6115 8.2148 9.1187
angles (deg): 90.00 90.00 90.00
Last column: nearest neighbours and their distance in Å.
Space group Fddd (No. 70, origin choice 2)
Unique sites:
Tc 0.1250 0.1250 0.2671 x16  4 N 1.98-2.05
N 0.1250 0.3189 0.1250 x16  4 Tc 1.98-2.05

***

(9)
Density functional theory data (PBE) for a relaxed structure of La12Al3N5.

## Properties
D(E_F) (states/eV per atom): 0.959
E (eV per atom): -6.315

a b c (Å): 16.4053 16.4053 16.4053
angles (deg): 90.00 90.00 90.00
Last column: nearest neighbours and their distance in Å.
Space group Ia-3d (No. 230)
Unique sites:
La 0.0367 0.0514 0.6478 x96  2 N 2.37-2.64
Al 0.0000 0.2500 0.1250 x24  8 La 3.25-3.33
N 0.0000 0.0000 0.0000 x16  6 La 2.64
N 0.0000 0.2500 0.3750 x24  4 La 2.37

***

Please write out number 8 again, unchanged.
Density functional theory data (PBE) for a relaxed structure of TcN.

## Properties
D(E_F) (states/eV per atom): 0.783
Distance to the lowest polymorph of the same formula (eV per atom): 0.232

a b c (Å): 6.6115 8.2148 9.1187
angles (deg): 90.00 90.00 90.00
Last column: nearest neighbours and their distance in Å.
Space group Fddd (No. 70, origin choice 2)
Unique sites:
Tc 0.1250 0.1250 0.2671 x16  4 N 1.98-2.05
N 0.1250 0.3189 0.1250 x16  4 Tc 1.98-2.05

***

Among the records above, which one has the highest D(E_F)? Ni3PdN